1.
Material: Na12Br4ClO3
Method: DFT, PBE
State: optimized geometry

Cell lengths 8.368, 8.368, 8.368 Å; angles 109.47, 109.47, 109.47 degrees
Element x y z (fractional)
Br  0.500  0.000  0.000
Na  0.750  0.500  0.250
Na  0.724  0.724  0.000
O  0.500  0.500  0.000
Na  0.250  0.750  0.500
Na  0.276  0.276  0.000
Na  0.724  0.000  0.724
Br  0.500  0.500  0.500
Na  0.276  0.000  0.276
Br  0.000  0.000  0.500
Na  0.500  0.250  0.750
Na  0.000  0.276  0.276
Cl  0.000  0.000  0.000
Br  0.000  0.500  0.000
O  0.500  0.000  0.500
Na  0.250  0.500  0.750
Na  0.500  0.750  0.250
Na  0.750  0.250  0.500
Na  0.000  0.724  0.724
O  0.000  0.500  0.500

- Uncorrected formation energy: -1.3017 eV per atom
- Symmetry: Im-3m

---

2.
Material: K4Ce3ScTe8
Method: DFT, PBE
State: optimized geometry

Cell lengths 9.150, 9.773, 9.150 Å; angles 117.93, 120.00, 90.00 degrees
Each line ends with the local moment (μB).
Element x y z (fractional)
K  0.000  0.000  0.500  0.00
Ce  0.500  0.500  0.000  -0.97
K  0.500  0.000  0.000  0.00
Te  0.227  0.707  0.454  0.01
Ce  0.500  0.500  0.500  -0.97
Te  0.227  0.707  0.980  0.01
Sc  0.000  0.500  0.000  -0.05
Te  0.773  0.293  0.020  0.01
Te  0.261  0.283  0.522  0.02
K  0.500  0.000  0.500  0.00
Te  0.247  0.293  0.020  0.01
Te  0.739  0.717  0.478  0.02
Te  0.773  0.293  0.546  0.01
K  0.000  0.000  0.000  0.00
Te  0.753  0.707  0.980  0.01
Ce  0.000  0.500  0.500  -0.97

- Uncorrected formation energy: -1.3102 eV per atom
- Symmetry: R-3m

---

3.
Material: I2Br
Method: DFT, PBE
State: optimized geometry

Cell lengths 5.348, 7.882, 9.968 Å; angles 98.75, 99.19, 96.29 degrees
Element x y z (fractional)
Br  0.716  0.740  0.324
I  0.078  0.145  0.404
I  0.381  0.092  0.650
Br  0.692  0.029  0.894
I  0.426  0.458  0.345
I  0.561  0.232  0.107

- Uncorrected formation energy: -0.0175 eV per atom
- Symmetry: P1

---

4.
Material: Ta2MnV4
Method: DFT, PBE
State: optimized geometry

Cell lengths 4.230, 4.230, 7.189 Å; angles 72.89, 72.89, 90.00 degrees
Element x y z (fractional)
V  0.824  0.824  0.351
Ta  0.629  0.629  0.742
V  0.500  0.000  0.000
V  0.176  0.176  0.649
Mn  0.000  0.000  0.000
V  0.000  0.500  0.000
Ta  0.371  0.371  0.258

- DFT formation energy: 0.85 eV per atom
- Symmetry: I4/mmm

---

5.
Material: TbPm4Sc3
Method: DFT, PBE
State: optimized geometry

Cell lengths 3.464, 5.672, 17.218 Å; angles 127.43, 95.77, 90.00 degrees
Element x y z (fractional)
Sc  0.000  0.500  0.000
Pm  0.311  0.303  0.621
Tb  0.500  0.000  0.000
Pm  0.600  0.872  0.201
Pm  0.400  0.128  0.799
Pm  0.689  0.697  0.379
Sc  0.206  0.253  0.412
Sc  0.794  0.747  0.588

- DFT formation energy: 0.30 eV per atom
- Symmetry: C2/m

---

6.
Material: FeTe2H
Method: DFT, PBE
State: optimized geometry

Cell lengths 8.573, 8.573, 8.573 Å; angles 22.06, 22.06, 22.06 degrees
Each line ends with the local moment (μB).
Element x y z (fractional)
Fe  0.000  0.000  0.000  2.87
Te  0.101  0.101  0.101  -0.06
H  0.500  0.500  0.500  -0.02
Te  0.899  0.899  0.899  -0.06

- Total DFT energy (no corrections): -14.696 eV per cell
- Symmetry: R-3m

---

7.
Material: Ca3SbP
Method: DFT, PBE
State: optimized geometry

Cell lengths 18.731, 8.299, 8.299 Å; angles 143.89, 147.83, 32.17 degrees
Element x y z (fractional)
Sb  0.623  0.002  0.998
Ca  0.203  0.753  0.247
Ca  0.797  0.247  0.753
Ca  0.976  0.700  0.300
Ca  0.599  0.228  0.772
Ca  0.024  0.300  0.700
Sb  0.377  0.998  0.002
P  0.084  0.048  0.952
Ca  0.401  0.772  0.228
P  0.916  0.952  0.048

- Uncorrected formation energy: -0.9820 eV per atom
- Symmetry: C2/m

---

8.
Material: CaSc2H
Method: DFT, PBE
State: optimized geometry

Cell lengths 6.460, 6.460, 6.452 Å; angles 59.96, 59.96, 90.00 degrees
Element x y z (fractional)
Sc  0.388  0.125  0.250
Sc  0.362  0.625  0.250
H  0.250  0.750  0.500
Sc  0.375  0.612  0.750
Sc  0.875  0.638  0.750
H  0.500  0.500  0.000
Ca  0.750  0.250  0.500
Ca  0.000  0.000  0.000

- Total DFT energy (no corrections): -36.850 eV per cell
- Symmetry: I-42d

---

9.
Material: AgB3Ru
Method: DFT, PBE
State: optimized geometry

Cell lengths 4.081, 4.081, 4.081 Å; angles 90.00, 90.00, 90.00 degrees
Element x y z (fractional)
Ag  0.500  0.500  0.500
B  0.500  0.000  0.000
Ru  0.000  0.000  0.000
B  0.000  0.500  0.000
B  0.000  0.000  0.500

- DFT formation energy: 1.01 eV per atom
- Symmetry: Pm-3m